A relaxed Li4NbCoO6 crystal, computed with PBE with a Hubbard U.

Geometry as CIF:
```
data_Li4NbCoO6
_chemical_formula_sum 'Li4 Nb1 Co1 O6'
_symmetry_space_group_name_H-M 'P 1'
_symmetry_Int_Tables_number 1
_symmetry_space_group_name_Hall 'P 1'
_cell_length_a 5.103
_cell_length_b 5.103
_cell_length_c 5.080
_cell_angle_alpha 99.21
_cell_angle_beta 99.21
_cell_angle_gamma 120.49
loop_
_atom_site_label
_atom_site_type_symbol
_atom_site_fract_x
_atom_site_fract_y
_atom_site_fract_z
_atom_site_occupancy
Li1 Li 0.000 0.000 0.000 1
Li2 Li 0.162 0.838 0.500 1
Li3 Li 0.492 0.508 0.500 1
Li4 Li 0.844 0.156 0.500 1
Nb1 Nb 0.660 0.340 0.000 1
Co1 Co 0.332 0.668 0.000 1
O1 O 0.085 0.431 0.226 1
O2 O 0.266 0.261 0.757 1
O3 O 0.430 0.085 0.240 1
O4 O 0.569 0.915 0.774 1
O5 O 0.739 0.734 0.243 1
O6 O 0.915 0.570 0.760 1
```

As for the electronic total energy: -6.384 eV per atom. Its space-group type is C2, No. 5. Its size of the total moment is 0.0 Bohr magnetons per cell.